No. 1
CdIn9Hg2: optimized geometry, PBE.

As for the energy relative to the elements: 0.0099 eV per atom. The total energy comes out at -2.170 eV per atom. For the density of states at the Fermi level, the calculation gives 0.21 states/eV per atom. The calculation puts the spin magnetization at 0.000 μB/cell.

The space group is P4/mmm (No. 123) and the conventional cell measures 4.7169, 4.7169 and 14.2053 Å, with angles of 90.00, 90.00 and 90.00 degrees. The distinct sites, in fractional coordinates, are Cd at (0.0000, 0.0000, 0.0000), In at (0.0000, 0.5000, 0.1657), In at (0.0000, 0.5000, 0.5000), In at (0.5000, 0.5000, 0.0000), In at (0.5000, 0.5000, 0.3316) and Hg at (0.0000, 0.0000, 0.3339).

=====

No. 2
NaCaRu2: optimized geometry, PBE.

As for the energy relative to the elements: 0.3443 eV per atom. The total energy comes out at -5.124 eV per atom. For the density of states at the Fermi level, the calculation gives 0.83 states/eV per atom. The calculation puts the energy above the lowest structure with this stoichiometry at 0.180 eV/atom. The calculation puts the spin magnetization at 0.001 μB/cell.

The space group is Cm (No. 8) and the conventional cell measures 14.9011, 4.2564 and 6.3115 Å, with angles of 90.00, 96.28 and 90.00 degrees. The distinct sites, in fractional coordinates, are Na at (0.0000, 0.0000, 0.0000), Na at (0.1390, 0.5000, 0.2580), Ca at (0.2784, 0.0000, 0.9948), Ca at (0.4508, 0.0000, 0.5422), Ru at (0.1108, 0.0000, 0.6085), Ru at (0.1438, 0.5000, 0.7748), Ru at (0.2565, 0.0000, 0.4827) and Ru at (0.2903, 0.5000, 0.6486).

=====

No. 3
TbI2Cl: optimized geometry, PBE.

The total energy comes out at -4.071 eV per atom. The uncorrected formation energy is -1.68 eV/atom. For the density of states at the Fermi level, the calculation gives 0.00 states/eV per atom. The calculation puts the spin magnetization at 0.000 μB/cell.

The space group is Immm (No. 71) and the conventional cell measures 4.3688, 5.3122 and 15.3163 Å, with angles of 90.00, 90.00 and 90.00 degrees. The distinct sites, in fractional coordinates, are Tb at (0.0000, 0.0000, 0.0000), I at (0.0000, 0.5000, 0.3601) and Cl at (0.0000, 0.5000, 0.0000).

=====

Q: Which of these has the highest spin magnetization?
A: NaCaRu2